# 1
Entry from Alexandria: a crystal of NdHf2F11 relaxed with PBEsol (meta-GGA SCAN).

Cell: 8.302 8.302 8.302 Å, 124.83 106.42 98.40°
Fractional coordinates of all 28 atoms:
Nd (0.250, 0.250, 0.000)
Nd (0.750, 0.750, 0.000)
Hf (0.181, 0.634, 0.815)
Hf (0.319, 0.134, 0.453)
Hf (0.681, 0.866, 0.547)
Hf (0.819, 0.366, 0.185)
F (0.000, 0.500, 0.500)
F (0.048, 0.966, 0.287)
F (0.053, 0.365, 0.159)
F (0.179, 0.466, 0.918)
F (0.206, 0.894, 0.841)
F (0.219, 0.370, 0.589)
F (0.281, 0.870, 0.151)
F (0.294, 0.135, 0.688)
F (0.321, 0.239, 0.287)
F (0.447, 0.606, 0.312)
F (0.452, 0.739, 0.918)
F (0.500, 0.000, 0.500)
F (0.548, 0.261, 0.082)
F (0.553, 0.394, 0.688)
F (0.679, 0.761, 0.713)
F (0.706, 0.865, 0.312)
F (0.719, 0.130, 0.849)
F (0.781, 0.630, 0.411)
F (0.794, 0.106, 0.159)
F (0.821, 0.534, 0.082)
F (0.947, 0.635, 0.841)
F (0.952, 0.034, 0.713)

Properties
The value obtained for the uncorrected formation energy is -4.15 eV per atom. Its symmetry is Ibam, No. 72.

---

# 2
Entry from Alexandria: a crystal of LaAl3 relaxed with PBEsol (meta-GGA SCAN).

Cell: 3.168 3.168 9.688 Å, 90.00 90.00 120.00°
Fractional coordinates of all 4 atoms:
La (0.000, 0.000, 0.000)
Al (0.000, 0.000, 0.500)
Al (0.667, 0.333, 0.282)
Al (0.667, 0.333, 0.718)

Properties
Its symmetry is P-6m2, No. 187. The value obtained for the energy of formation from the pure elements is 0.061 eV/atom.

---

# 3
Entry from Alexandria: a crystal of CsNaMg2N relaxed with PBEsol (meta-GGA SCAN).

Cell: 4.442 4.442 6.291 Å, 90.00 90.00 90.00°
Fractional coordinates of all 5 atoms:
Cs (0.000, 0.000, 0.000)
Na (0.500, 0.500, 0.000)
Mg (0.000, 0.500, 0.500)
Mg (0.500, 0.000, 0.500)
N (0.500, 0.500, 0.500)

Properties
The value obtained for the uncorrected formation energy is 0.30 eV per atom. Its symmetry is P4/mmm, No. 123.

---

# 4
Entry from Alexandria: a crystal of BaPbBr2 relaxed with PBEsol (meta-GGA SCAN).

Cell: 4.466 4.466 6.595 Å, 90.00 90.00 90.00°
Fractional coordinates of all 4 atoms:
Ba (0.000, 0.000, 0.000)
Pb (0.500, 0.500, 0.665)
Br (0.000, 0.000, 0.481)
Br (0.500, 0.500, 0.155)

Properties
The value obtained for the uncorrected formation energy is -1.15 eV per atom. The energy above the most stable polymorph in this dataset comes out at 143 meV per atom. Its symmetry is P4mm, No. 99.

---

# 5
Entry from Alexandria: a crystal of LuNbO4 relaxed with PBEsol (meta-GGA SCAN).

Cell: 6.387 6.387 5.033 Å, 111.33 111.33 114.15°
Fractional coordinates of all 12 atoms:
Lu (0.129, 0.871, 0.750)
Lu (0.871, 0.129, 0.250)
Nb (0.392, 0.608, 0.250)
Nb (0.608, 0.392, 0.750)
O (0.118, 0.547, 0.337)
O (0.217, 0.278, 0.783)
O (0.278, 0.217, 0.283)
O (0.453, 0.882, 0.163)
O (0.547, 0.118, 0.837)
O (0.722, 0.783, 0.717)
O (0.783, 0.722, 0.217)
O (0.882, 0.453, 0.663)

Properties
The value obtained for the uncorrected formation energy is -3.42 eV per atom. Its symmetry is C2/c, No. 15.

---

# 6
Entry from Alexandria: a crystal of Y2HfMn relaxed with PBEsol (meta-GGA SCAN).

Cell: 5.101 5.101 5.101 Å, 60.00 60.00 60.00°
Fractional coordinates of all 4 atoms:
Y (0.250, 0.250, 0.250)
Y (0.750, 0.750, 0.750)
Hf (0.000, 0.000, 0.000)
Mn (0.500, 0.500, 0.500)

Properties
Its symmetry is Fm-3m, No. 225. The value obtained for the energy of formation from the pure elements is 0.207 eV/atom.

---

# 7
Entry from Alexandria: a crystal of LiFeSi3O8 relaxed with PBEsol (meta-GGA SCAN).

Cell: 7.701 7.701 12.773 Å, 92.13 92.13 119.88°
Fractional coordinates of all 52 atoms:
Li (0.123, 0.675, 0.881)
Li (0.325, 0.877, 0.619)
Li (0.675, 0.123, 0.381)
Li (0.877, 0.325, 0.119)
Fe (0.112, 0.415, 0.665)
Fe (0.415, 0.112, 0.165)
Fe (0.585, 0.888, 0.835)
Fe (0.888, 0.585, 0.335)
Si (0.060, 0.259, 0.893)
Si (0.131, 0.374, 0.337)
Si (0.259, 0.060, 0.393)
Si (0.280, 0.432, 0.112)
Si (0.374, 0.131, 0.837)
Si (0.432, 0.280, 0.612)
Si (0.568, 0.720, 0.388)
Si (0.626, 0.869, 0.163)
Si (0.720, 0.568, 0.888)
Si (0.741, 0.940, 0.607)
Si (0.869, 0.626, 0.663)
Si (0.940, 0.741, 0.107)
O (0.076, 0.635, 0.632)
O (0.104, 0.823, 0.380)
O (0.111, 0.367, 0.013)
O (0.127, 0.361, 0.208)
O (0.129, 0.441, 0.814)
O (0.138, 0.182, 0.380)
O (0.177, 0.896, 0.120)
O (0.182, 0.138, 0.880)
O (0.325, 0.584, 0.382)
O (0.332, 0.419, 0.610)
O (0.361, 0.127, 0.708)
O (0.365, 0.924, 0.868)
O (0.367, 0.111, 0.513)
O (0.416, 0.675, 0.118)
O (0.419, 0.332, 0.110)
O (0.441, 0.129, 0.314)
O (0.559, 0.871, 0.686)
O (0.581, 0.668, 0.890)
O (0.584, 0.325, 0.882)
O (0.633, 0.889, 0.487)
O (0.635, 0.076, 0.132)
O (0.639, 0.873, 0.292)
O (0.668, 0.581, 0.390)
O (0.675, 0.416, 0.618)
O (0.818, 0.862, 0.120)
O (0.823, 0.104, 0.880)
O (0.862, 0.818, 0.620)
O (0.871, 0.559, 0.186)
O (0.873, 0.639, 0.792)
O (0.889, 0.633, 0.987)
O (0.896, 0.177, 0.620)
O (0.924, 0.365, 0.368)

Properties
The value obtained for the uncorrected formation energy is -2.68 eV per atom. The energy above the most stable polymorph in this dataset comes out at 10 meV per atom. Its symmetry is C2/c, No. 15.

---

# 8
Entry from Alexandria: a crystal of TiCoSi relaxed with PBEsol (meta-GGA SCAN).

Cell: 6.053 3.673 6.812 Å, 90.00 90.00 90.00°
Fractional coordinates of all 12 atoms:
Ti (0.015, 0.250, 0.192)
Ti (0.485, 0.750, 0.692)
Ti (0.515, 0.250, 0.308)
Ti (0.985, 0.750, 0.808)
Co (0.145, 0.250, 0.566)
Co (0.355, 0.750, 0.066)
Co (0.645, 0.250, 0.934)
Co (0.855, 0.750, 0.434)
Si (0.227, 0.750, 0.387)
Si (0.273, 0.250, 0.887)
Si (0.727, 0.750, 0.113)
Si (0.773, 0.250, 0.613)

Properties
The value obtained for the uncorrected formation energy is -0.78 eV per atom. Its symmetry is Pnma, No. 62.

---

# 9
Entry from Alexandria: a crystal of FeCo3 relaxed with PBEsol (meta-GGA SCAN).

Cell: 3.483 3.483 3.483 Å, 90.00 90.00 90.00°
Fractional coordinates of all 4 atoms:
Fe (0.000, 0.000, 0.000)
Co (0.000, 0.500, 0.500)
Co (0.500, 0.000, 0.500)
Co (0.500, 0.500, 0.000)

Properties
Its symmetry is Pm-3m, No. 221. The value obtained for the energy of formation from the pure elements is -0.026 eV/atom.

---

# 10
Entry from Alexandria: a crystal of Nb3FeS relaxed with PBEsol (meta-GGA SCAN).

Cell: 4.547 4.547 4.547 Å, 90.00 90.00 90.00°
Fractional coordinates of all 5 atoms:
Nb (0.000, 0.000, 0.500)
Nb (0.000, 0.500, 0.000)
Nb (0.500, 0.000, 0.000)
Fe (0.000, 0.000, 0.000)
S (0.500, 0.500, 0.500)

Properties
The value obtained for the uncorrected formation energy is 0.83 eV per atom. Its symmetry is Pm-3m, No. 221.

---

# 11
Entry from Alexandria: a crystal of AlSeBr relaxed with PBEsol (meta-GGA SCAN).

Cell: 3.643 3.643 6.415 Å, 90.00 90.00 120.00°
Fractional coordinates of all 3 atoms:
Al (0.000, 0.000, 0.000)
Se (0.667, 0.333, 0.194)
Br (0.333, 0.667, 0.735)

Properties
The value obtained for the uncorrected formation energy is -1.04 eV per atom. Its symmetry is P3m1, No. 156.

---

# 12
Entry from Alexandria: a crystal of Mg2Te3O9 relaxed with PBEsol (meta-GGA SCAN).

Cell: 9.005 7.255 12.215 Å, 90.00 120.50 90.00°
Fractional coordinates of all 56 atoms:
Mg (0.092, 0.123, 0.134)
Mg (0.092, 0.377, 0.634)
Mg (0.101, 0.596, 0.140)
Mg (0.101, 0.904, 0.640)
Mg (0.899, 0.096, 0.360)
Mg (0.899, 0.404, 0.860)
Mg (0.908, 0.623, 0.366)
Mg (0.908, 0.877, 0.866)
Te (0.260, 0.609, 0.921)
Te (0.260, 0.891, 0.421)
Te (0.278, 0.105, 0.938)
Te (0.278, 0.395, 0.438)
Te (0.492, 0.122, 0.744)
Te (0.492, 0.378, 0.244)
Te (0.508, 0.622, 0.756)
Te (0.508, 0.878, 0.256)
Te (0.722, 0.605, 0.562)
Te (0.722, 0.895, 0.062)
Te (0.740, 0.109, 0.579)
Te (0.740, 0.391, 0.079)
O (0.081, 0.647, 0.965)
O (0.081, 0.853, 0.465)
O (0.084, 0.098, 0.959)
O (0.084, 0.402, 0.459)
O (0.108, 0.083, 0.316)
O (0.108, 0.417, 0.816)
O (0.200, 0.652, 0.333)
O (0.200, 0.848, 0.833)
O (0.262, 0.153, 0.710)
O (0.262, 0.347, 0.210)
O (0.290, 0.567, 0.734)
O (0.290, 0.933, 0.234)
O (0.409, 0.188, 0.569)
O (0.409, 0.312, 0.069)
O (0.415, 0.633, 0.191)
O (0.415, 0.867, 0.691)
O (0.431, 0.571, 0.576)
O (0.431, 0.929, 0.076)
O (0.569, 0.071, 0.924)
O (0.569, 0.429, 0.424)
O (0.585, 0.133, 0.309)
O (0.585, 0.367, 0.809)
O (0.591, 0.688, 0.931)
O (0.591, 0.812, 0.431)
O (0.710, 0.067, 0.766)
O (0.710, 0.433, 0.266)
O (0.738, 0.653, 0.790)
O (0.738, 0.847, 0.290)
O (0.800, 0.152, 0.167)
O (0.800, 0.348, 0.667)
O (0.892, 0.583, 0.184)
O (0.892, 0.917, 0.684)
O (0.916, 0.598, 0.541)
O (0.916, 0.902, 0.041)
O (0.919, 0.147, 0.535)
O (0.919, 0.353, 0.035)

Properties
The value obtained for the uncorrected formation energy is -1.65 eV per atom. Its symmetry is P2_1/c, No. 14.